1.
# FeHg4As, optimized geometry, DFT GGA-PBE
data_FeHg4As
_space_group_name_H-M_alt 'F -4 3 m'
_space_group_IT_number 216
_space_group_name_Hall 'F -4 2 3'
_cell_length_a 8.212
_cell_length_b 8.212
_cell_length_c 8.212
_cell_angle_alpha 90.00
_cell_angle_beta 90.00
_cell_angle_gamma 90.00
loop_
_atom_site_label
_atom_site_type_symbol
_atom_site_fract_x
_atom_site_fract_y
_atom_site_fract_z
Fe1 Fe 0.000 0.000 0.000
Hg1 Hg 0.125 0.125 0.625
As1 As 0.250 0.250 0.250
# DFT formation energy: 0.74 eV/atom
# size of the total moment: 3.137 μB/f.u.
# total energy: -1.644 eV/atom
# density of states at the Fermi level: 26.5 states/eV per cell

---

2.
# Fe4HgAs, optimized geometry, DFT GGA-PBE
data_Fe4HgAs
_space_group_name_H-M_alt 'F -4 3 m'
_space_group_IT_number 216
_space_group_name_Hall 'F -4 2 3'
_cell_length_a 7.044
_cell_length_b 7.044
_cell_length_c 7.044
_cell_angle_alpha 90.00
_cell_angle_beta 90.00
_cell_angle_gamma 90.00
loop_
_atom_site_label
_atom_site_type_symbol
_atom_site_fract_x
_atom_site_fract_y
_atom_site_fract_z
Fe1 Fe 0.125 0.125 0.125
Hg1 Hg 0.000 0.000 0.500
As1 As 0.250 0.250 0.750
# DFT formation energy: 0.36 eV/atom
# size of the total moment: 10.418 μB/f.u.
# total energy: -6.108 eV/atom
# density of states at the Fermi level: 21.2 states/eV per cell

---

3.
# Fe2Hg2As, optimized geometry, DFT GGA-PBE
data_Fe2Hg2As
_space_group_name_H-M_alt 'P 4/m b m'
_space_group_IT_number 127
_space_group_name_Hall '-P 4 2ab'
_cell_length_a 6.207
_cell_length_b 6.207
_cell_length_c 4.457
_cell_angle_alpha 90.00
_cell_angle_beta 90.00
_cell_angle_gamma 90.00
loop_
_atom_site_label
_atom_site_type_symbol
_atom_site_fract_x
_atom_site_fract_y
_atom_site_fract_z
Fe1 Fe 0.140 0.360 0.000
Hg1 Hg 0.168 0.668 0.500
As1 As 0.000 0.000 0.000
# DFT formation energy: 0.30 eV/atom
# size of the total moment: 4.462 μB/f.u.
# total energy: -4.140 eV/atom
# density of states at the Fermi level: 6.9 states/eV per cell

---

4.
# FeHgAs4, optimized geometry, DFT GGA-PBE
data_FeHgAs4
_space_group_name_H-M_alt 'F -4 3 m'
_space_group_IT_number 216
_space_group_name_Hall 'F -4 2 3'
_cell_length_a 7.878
_cell_length_b 7.878
_cell_length_c 7.878
_cell_angle_alpha 90.00
_cell_angle_beta 90.00
_cell_angle_gamma 90.00
loop_
_atom_site_label
_atom_site_type_symbol
_atom_site_fract_x
_atom_site_fract_y
_atom_site_fract_z
Fe1 Fe 0.000 0.000 0.000
Hg1 Hg 0.250 0.250 0.750
As1 As 0.125 0.125 0.375
# DFT formation energy: 0.65 eV/atom
# size of the total moment: 3.355 μB/f.u.
# total energy: -3.910 eV/atom
# density of states at the Fermi level: 21.3 states/eV per cell

---

5.
# Fe2HgAs2, optimized geometry, DFT GGA-PBE
data_Fe2HgAs2
_space_group_name_H-M_alt 'P 4/m b m'
_space_group_IT_number 127
_space_group_name_Hall '-P 4 2ab'
_cell_length_a 7.842
_cell_length_b 7.842
_cell_length_c 2.709
_cell_angle_alpha 90.00
_cell_angle_beta 90.00
_cell_angle_gamma 90.00
loop_
_atom_site_label
_atom_site_type_symbol
_atom_site_fract_x
_atom_site_fract_y
_atom_site_fract_z
Fe1 Fe 0.150 0.350 0.000
Hg1 Hg 0.000 0.000 0.500
As1 As 0.141 0.641 0.500
# DFT formation energy: 0.30 eV/atom
# size of the total moment: 5.250 μB/f.u.
# total energy: -5.004 eV/atom
# energy above the most stable polymorph in this dataset: 173.9 meV per atom
# density of states at the Fermi level: 10.0 states/eV per cell

---

6.
# Fe2HgAs2, optimized geometry, DFT GGA-PBE
data_Fe2HgAs2
_space_group_name_H-M_alt 'P 4/m b m'
_space_group_IT_number 127
_space_group_name_Hall '-P 4 2ab'
_cell_length_a 7.147
_cell_length_b 7.147
_cell_length_c 3.150
_cell_angle_alpha 90.00
_cell_angle_beta 90.00
_cell_angle_gamma 90.00
loop_
_atom_site_label
_atom_site_type_symbol
_atom_site_fract_x
_atom_site_fract_y
_atom_site_fract_z
Fe1 Fe 0.130 0.370 0.000
Hg1 Hg 0.000 0.000 0.000
As1 As 0.149 0.649 0.500
# DFT formation energy: 0.18 eV/atom
# size of the total moment: 4.171 μB/f.u.
# total energy: -5.121 eV/atom
# energy above the most stable polymorph in this dataset: 57.8 meV per atom
# density of states at the Fermi level: 9.9 states/eV per cell